No. 1
Computed, not measured: crystalline PuURu at its relaxed geometry at the PBE-GGA level of DFT.

CIF file:
```
data_PuURu
_cell_length_a 11.6793
_cell_length_b 11.6793
_cell_length_c 3.3696
_cell_angle_alpha 90.00
_cell_angle_beta 90.00
_cell_angle_gamma 163.70
_space_group_name_H-M_alt 'P 1'
_space_group_IT_number 1
_space_group_name_Hall 'P 1'
loop_
_atom_site_label
_atom_site_type_symbol
_atom_site_fract_x
_atom_site_fract_y
_atom_site_fract_z
Pu1 Pu 0.0613 0.9387 0.7500
Pu2 Pu 0.9387 0.0613 0.2500
U1 U 0.2120 0.7880 0.7500
U2 U 0.7880 0.2120 0.2500
Ru1 Ru 0.3507 0.6493 0.7500
Ru2 Ru 0.6493 0.3507 0.2500
```

- relative energy among the computed polymorphs (meV/atom) = 102
- crystal system = orthorhombic
- total moment (μB per formula unit) = 7.0
- N(E_F) (states/eV per atom) = 3.189
- volume (Å³ per cell) = 129.0

No. 2
Computed, not measured: crystalline PuUVRu at its relaxed geometry at the PBE-GGA level of DFT.

CIF file:
```
data_PuUVRu
_cell_length_a 4.5912
_cell_length_b 4.5912
_cell_length_c 4.5912
_cell_angle_alpha 60.00
_cell_angle_beta 60.00
_cell_angle_gamma 60.00
_space_group_name_H-M_alt 'P 1'
_space_group_IT_number 1
_space_group_name_Hall 'P 1'
loop_
_atom_site_label
_atom_site_type_symbol
_atom_site_fract_x
_atom_site_fract_y
_atom_site_fract_z
Pu1 Pu 0.0000 0.0000 0.0000
U1 U 0.2500 0.2500 0.2500
V1 V 0.7500 0.7500 0.7500
Ru1 Ru 0.5000 0.5000 0.5000
```

- crystal system = cubic
- total moment (μB per formula unit) = 5.3
- N(E_F) (states/eV per atom) = 1.583
- volume (Å³ per cell) = 68.4
- energy (eV for the cell shown) = -44.22

No. 3
Computed, not measured: crystalline PuUZnRu at its relaxed geometry at the PBE-GGA level of DFT.

CIF file:
```
data_PuUZnRu
_cell_length_a 4.6711
_cell_length_b 4.6711
_cell_length_c 4.6711
_cell_angle_alpha 60.00
_cell_angle_beta 60.00
_cell_angle_gamma 60.00
_space_group_name_H-M_alt 'P 1'
_space_group_IT_number 1
_space_group_name_Hall 'P 1'
loop_
_atom_site_label
_atom_site_type_symbol
_atom_site_fract_x
_atom_site_fract_y
_atom_site_fract_z
Pu1 Pu 0.0000 0.0000 0.0000
U1 U 0.7500 0.7500 0.7500
Zn1 Zn 0.2500 0.2500 0.2500
Ru1 Ru 0.5000 0.5000 0.5000
```

- crystal system = cubic
- total moment (μB per formula unit) = 6.1
- N(E_F) (states/eV per atom) = 1.750
- volume (Å³ per cell) = 72.1
- energy (eV for the cell shown) = -36.80

What is the N(E_F) in the first record?
3.189 states/eV per atom

What is the volume in the third record?
72.1 Å³ per cell